# PBE KCoMo2, relaxed
data_KCoMo2
_cell_length_a 2.677
_cell_length_b 3.654
_cell_length_c 8.441
_cell_angle_alpha 90.00
_cell_angle_beta 90.00
_cell_angle_gamma 90.00
_space_group_name_H-M_alt 'P m m m'
_space_group_IT_number 47
_space_group_name_Hall '-P 2 2'
loop_
_atom_site_label
_atom_site_fract_x
_atom_site_fract_y
_atom_site_fract_z
K1 0.000 0.000 0.000
Co1 0.000 0.000 0.500
Mo1 0.500 0.500 0.353
# * excess energy over the best structure of this formula in the dataset: 47 meV per atom
# * density: 5.83 g cm⁻³
# * ΔE_f: 78 kJ per mole of atoms
# * density of states at the Fermi level: 0.85 states/eV/atom